Record 1
Below is a relaxed TiGa2Pt9 crystal, with properties calculated at the PBE level.

Cell: 3.948 3.948 11.826 Å, 90.00 90.00 90.00°
Fractional coordinates of all 12 atoms:
Ti: 0.000 0.000 0.000
Ga: 0.000 0.000 0.337
Ga: 0.000 0.000 0.663
Pt: 0.500 0.500 0.000
Pt: 0.500 0.500 0.332
Pt: 0.500 0.500 0.668
Pt: 0.500 0.000 0.163
Pt: 0.500 0.000 0.500
Pt: 0.500 0.000 0.837
Pt: 0.000 0.500 0.163
Pt: 0.000 0.500 0.500
Pt: 0.000 0.500 0.837

Properties
E_form, kcal/mol of atoms: -14.287
D(E_F), states/eV per atom: 0.776
Final energy, eV per cell: -75.8

Record 2
Below is a relaxed Ti8Ga3Pt2 crystal, with properties calculated at the PBE level.

Cell: 4.731 7.099 7.607 Å, 117.81 90.01 90.00°
Fractional coordinates of all 13 atoms:
Ti: 0.000 0.688 0.376
Ti: 0.000 0.312 0.624
Ti: 0.000 0.107 0.214
Ti: 0.000 0.893 0.786
Ti: 0.500 0.574 0.766
Ti: 0.500 0.192 0.766
Ti: 0.500 0.808 0.234
Ti: 0.500 0.426 0.234
Ga: 0.500 0.000 0.000
Ga: 0.000 0.323 0.000
Ga: 0.000 0.677 0.000
Pt: 0.500 0.209 0.418
Pt: 0.500 0.791 0.582

Properties
E_form, kcal/mol of atoms: -6.419
D(E_F), states/eV per atom: 1.060
Final energy, eV per cell: -87.9

Record 3
Below is a relaxed Ti5Ga6Pt crystal, with properties calculated at the PBE level.

Cell: 7.394 4.893 6.713 Å, 68.63 79.71 60.64°
Fractional coordinates of all 12 atoms:
Ti: 0.500 0.182 0.636
Ti: 0.000 0.356 0.288
Ti: 0.500 0.500 0.000
Ti: 0.000 0.644 0.712
Ti: 0.500 0.818 0.364
Ga: 0.774 0.039 0.334
Ga: 0.226 0.627 0.334
Ga: 0.288 0.166 0.000
Ga: 0.712 0.834 0.000
Ga: 0.774 0.373 0.666
Ga: 0.226 0.961 0.666
Pt: 0.000 0.000 0.000

Properties
E_form, kcal/mol of atoms: -8.572
D(E_F), states/eV per atom: 0.837
Final energy, eV per cell: -68.1

Record 4
Below is a relaxed Ti11Ga9Pt4 crystal, with properties calculated at the PBE level.

Cell: 2.861 12.225 12.225 Å, 116.70 90.00 90.00°
Each line ends with the local moment (μB).
Fractional coordinates of all 24 atoms:
Ti: 0.000 0.600 0.969  0.14
Ti: 0.000 0.400 0.031  0.14
Ti: 0.000 0.969 0.600  0.14
Ti: 0.000 0.031 0.400  0.14
Ti: 0.000 0.619 0.381  -0.02
Ti: 0.000 0.381 0.619  -0.02
Ti: 0.000 0.819 0.181  0.21
Ti: 0.000 0.181 0.819  0.21
Ti: 0.000 0.000 0.000  0.19
Ti: 0.000 0.764 0.764  0.34
Ti: 0.000 0.236 0.236  0.34
Ga: 0.500 0.617 0.173  0.00
Ga: 0.500 0.383 0.827  0.00
Ga: 0.500 0.173 0.617  0.00
Ga: 0.500 0.827 0.383  0.00
Ga: 0.500 0.797 0.976  -0.01
Ga: 0.500 0.203 0.024  -0.01
Ga: 0.500 0.976 0.797  -0.01
Ga: 0.500 0.024 0.203  -0.01
Ga: 0.500 0.500 0.500  0.00
Pt: 0.500 0.578 0.769  0.01
Pt: 0.500 0.422 0.231  0.01
Pt: 0.500 0.769 0.578  0.01
Pt: 0.500 0.231 0.422  0.01

Properties
E_form, kcal/mol of atoms: -13.815
D(E_F), states/eV per atom: 0.872
Final energy, eV per cell: -152.6

Record 5
Below is a relaxed Ti4GaPt crystal, with properties calculated at the PBE level.

Cell: 4.294 4.294 6.157 Å, 90.01 90.00 90.00°
Fractional coordinates of all 6 atoms:
Ti: 0.501 0.997 0.246
Ti: 0.501 0.997 0.751
Ti: 0.001 0.497 0.751
Ti: 0.001 0.497 0.246
Ga: 0.001 0.997 0.498
Pt: 0.501 0.497 0.998

Properties
E_form, kcal/mol of atoms: -4.463
D(E_F), states/eV per atom: 1.220
Final energy, eV per cell: -41.8

Record 6
Below is a relaxed TiTlGaPt2 crystal, with properties calculated at the PBE level.

Cell: 4.773 5.415 4.773 Å, 90.00 90.00 90.00°
Fractional coordinates of all 5 atoms:
Tl: 0.000 0.500 0.000
Ga: 0.500 0.500 0.500
Pt: 0.000 0.000 0.500
Pt: 0.500 0.000 0.000
Ti: 0.000 0.000 0.000

Properties
E_form, kcal/mol of atoms: 11.134
D(E_F), states/eV per atom: 1.124
Final energy, eV per cell: -23.0

Record 7
Below is a relaxed Tm2TiGa3Pt4 crystal, with properties calculated at the PBE level.

Cell: 4.045 4.045 11.294 Å, 90.00 90.00 90.00°
Fractional coordinates of all 10 atoms:
Tm: 0.500 0.000 0.243
Tm: 0.000 0.500 0.757
Ti: 0.500 0.500 0.500
Ga: 0.000 0.000 0.500
Ga: 0.500 0.000 0.865
Ga: 0.000 0.500 0.135
Pt: 0.500 0.500 0.000
Pt: 0.000 0.000 0.000
Pt: 0.500 0.000 0.646
Pt: 0.000 0.500 0.354

Properties
E_form, kcal/mol of atoms: -21.774
D(E_F), states/eV per atom: 0.786
Final energy, eV per cell: -59.5

Record 8
Below is a relaxed Tm2TiGa4Pt3 crystal, with properties calculated at the PBE level.

Cell: 3.969 3.969 11.752 Å, 90.00 90.00 90.00°
Fractional coordinates of all 10 atoms:
Tm: 0.500 0.000 0.251
Tm: 0.000 0.500 0.749
Ti: 0.500 0.500 0.500
Ga: 0.500 0.500 0.000
Ga: 0.000 0.000 0.000
Ga: 0.500 0.000 0.646
Ga: 0.000 0.500 0.354
Pt: 0.000 0.000 0.500
Pt: 0.500 0.000 0.857
Pt: 0.000 0.500 0.143

Properties
E_form, kcal/mol of atoms: -19.576
D(E_F), states/eV per atom: 0.681
Final energy, eV per cell: -55.6

Record 9
Below is a relaxed TiVGaPt crystal, with properties calculated at the PBE level.

Cell: 4.388 4.388 4.388 Å, 60.00 60.00 60.00°
Each line ends with the local moment (μB).
Fractional coordinates of all 4 atoms:
Ti: 0.000 0.000 0.000  0.01
Ga: 0.500 0.500 0.500  -0.01
Pt: 0.750 0.750 0.750  0.06
V: 0.250 0.250 0.250  1.66

Properties
E_form, kcal/mol of atoms: -11.156
D(E_F), states/eV per atom: 1.024
Final energy, eV per cell: -28.0

Record 10
Below is a relaxed TiZn2GaPt2 crystal, with properties calculated at the PBE level.

Cell: 4.135 5.688 8.038 Å, 90.00 90.00 90.00°
Fractional coordinates of all 12 atoms:
Ti: 0.000 0.948 0.400
Ti: 0.000 0.448 0.600
Zn: 0.500 0.085 0.101
Zn: 0.000 0.348 0.224
Zn: 0.500 0.585 0.899
Zn: 0.000 0.848 0.776
Ga: 0.500 0.146 0.734
Ga: 0.500 0.646 0.266
Pt: 0.000 0.266 0.904
Pt: 0.500 0.253 0.425
Pt: 0.000 0.766 0.096
Pt: 0.500 0.753 0.575

Properties
E_form, kcal/mol of atoms: -13.245
D(E_F), states/eV per atom: 0.323
Final energy, eV per cell: -58.0

Record 11
Below is a relaxed Tl2GaPt crystal, with properties calculated at the PBE level.

Cell: 5.022 5.022 5.022 Å, 60.00 60.00 60.00°
Fractional coordinates of all 4 atoms:
Tl: 0.250 0.250 0.250
Tl: 0.750 0.750 0.750
Ga: 0.000 0.000 0.000
Pt: 0.500 0.500 0.500

Properties
E_form, kcal/mol of atoms: 2.838
D(E_F), states/eV per atom: 0.642
Excess energy over the best structure of this formula in the dataset, eV per atom: 0.189
Final energy, eV per cell: -13.3

Record 12
Below is a relaxed TlGa3Pt crystal, with properties calculated at the PBE level.

Cell: 4.908 4.908 4.908 Å, 90.00 90.00 90.00°
Fractional coordinates of all 5 atoms:
Tl: 0.500 0.500 0.500
Ga: 0.000 0.500 0.000
Ga: 0.000 0.000 0.500
Ga: 0.500 0.000 0.000
Pt: 0.000 0.000 0.000

Properties
E_form, kcal/mol of atoms: -3.903
D(E_F), states/eV per atom: 0.775
Excess energy over the best structure of this formula in the dataset, eV per atom: 0.000
Final energy, eV per cell: -18.3